# 1
Crystalline BeVCo at its relaxed geometry, computed with PBE.

Values from the calculation:
Energy above the most stable polymorph in this dataset = 0.067 eV/atom
Formation enthalpy at 0 K = -0.162 eV per atom

Cell lengths 3.829, 3.829, 2.496 Å; angles 90.00, 90.00, 120.00 degrees
Positions (direct):
Be 0.000 0.000 0.000
V 0.333 0.667 0.559
Co 0.667 0.333 0.177

---

# 2
Crystalline Ca4Dy3Se8 at its relaxed geometry, computed with PBE.

Values from the calculation:
Formation energy (no corrections) = -1.81 eV per atom

Cell lengths 8.890, 8.890, 8.890 Å; angles 55.15, 55.15, 55.15 degrees
Positions (direct):
Ca 0.000 0.000 0.000
Ca 0.146 0.146 0.146
Ca 0.500 0.500 0.500
Ca 0.854 0.854 0.854
Dy 0.000 0.500 0.500
Dy 0.500 0.000 0.500
Dy 0.500 0.500 0.000
Se 0.248 0.248 0.737
Se 0.248 0.737 0.248
Se 0.263 0.752 0.752
Se 0.267 0.267 0.267
Se 0.733 0.733 0.733
Se 0.737 0.248 0.248
Se 0.752 0.263 0.752
Se 0.752 0.752 0.263

---

# 3
Crystalline Mg2ZnCdH at its relaxed geometry, computed with PBE.

Values from the calculation:
Energy above the most stable polymorph in this dataset = 0.000 eV/atom

Cell lengths 4.533, 4.533, 3.957 Å; angles 90.00, 90.00, 90.00 degrees
Positions (direct):
Mg 0.000 0.500 0.000
Mg 0.500 0.000 0.000
Zn 0.000 0.000 0.500
Cd 0.500 0.500 0.500
H 0.000 0.000 0.000

---

# 4
Crystalline Tc3GePd at its relaxed geometry, computed with PBE.

Values from the calculation:
Energy above the most stable polymorph in this dataset = 0.686 eV/atom
Formation enthalpy at 0 K = 2.057 eV per atom

Cell lengths 4.763, 4.763, 4.763 Å; angles 90.00, 90.00, 90.00 degrees
Positions (direct):
Tc 0.000 0.000 0.500
Tc 0.000 0.500 0.000
Tc 0.500 0.000 0.000
Ge 0.500 0.500 0.500
Pd 0.000 0.000 0.000

---

# 5
Crystalline Cs4As at its relaxed geometry, computed with PBE.

Values from the calculation:
Energy above the most stable polymorph in this dataset = 0.000 eV/atom
Formation enthalpy at 0 K = -0.213 eV per atom

Cell lengths 10.740, 10.740, 10.740 Å; angles 130.39, 130.39, 72.79 degrees
Positions (direct):
Cs 0.032 0.759 0.880
Cs 0.259 0.879 0.727
Cs 0.348 0.468 0.227
Cs 0.379 0.152 0.620
Cs 0.621 0.848 0.380
Cs 0.652 0.532 0.773
Cs 0.741 0.121 0.273
Cs 0.968 0.241 0.120
As 0.375 0.125 0.250
As 0.625 0.875 0.750

---

# 6
Crystalline MgCoW2 at its relaxed geometry, computed with PBE.

Values from the calculation:
Formation enthalpy at 0 K = 0.229 eV per atom

Cell lengths 2.745, 2.745, 8.027 Å; angles 90.00, 90.00, 90.00 degrees
Positions (direct):
Mg 0.000 0.000 0.000
Co 0.500 0.500 0.771
W 0.000 0.000 0.569
W 0.500 0.500 0.288

---

# 7
Crystalline Pu2U3Se8 at its relaxed geometry, computed with PBE.

Values from the calculation:
Formation energy (no corrections) = -1.23 eV per atom
Energy above the most stable polymorph in this dataset = 0.000 eV/atom

Cell lengths 8.542, 8.542, 4.932 Å; angles 90.00, 90.00, 110.01 degrees
Positions (direct):
Pu 0.237 0.763 0.000
Pu 0.763 0.237 0.000
U 0.230 0.230 0.500
U 0.500 0.500 0.000
U 0.770 0.770 0.500
Se 0.126 0.874 0.500
Se 0.138 0.381 0.000
Se 0.381 0.138 0.000
Se 0.383 0.617 0.500
Se 0.617 0.383 0.500
Se 0.619 0.862 0.000
Se 0.862 0.619 0.000
Se 0.874 0.126 0.500

---

# 8
Crystalline Tb2Tm3Pb2 at its relaxed geometry, computed with PBE.

Values from the calculation:
Formation enthalpy at 0 K = -0.300 eV per atom

Cell lengths 6.395, 6.395, 8.477 Å; angles 108.85, 108.85, 40.63 degrees
Positions (direct):
Tb 0.130 0.130 0.281
Tb 0.870 0.870 0.719
Tm 0.378 0.378 0.063
Tm 0.500 0.500 0.500
Tm 0.622 0.622 0.937
Pb 0.173 0.173 0.698
Pb 0.827 0.827 0.302

---

# 9
Crystalline Rb3BaCd at its relaxed geometry, computed with PBE.

Values from the calculation:
Energy above the most stable polymorph in this dataset = 0.371 eV/atom
Formation enthalpy at 0 K = 0.544 eV per atom

Cell lengths 8.800, 8.800, 8.800 Å; angles 90.00, 90.00, 90.00 degrees
Positions (direct):
Rb 0.000 0.000 0.500
Rb 0.000 0.500 0.000
Rb 0.500 0.000 0.000
Ba 0.000 0.000 0.000
Cd 0.500 0.500 0.500

---

# 10
Crystalline MgTi2PtO at its relaxed geometry, computed with PBE.

Values from the calculation:
Formation energy (no corrections) = -1.36 eV per atom

Cell lengths 4.093, 4.093, 4.168 Å; angles 90.00, 90.00, 90.00 degrees
Positions (direct):
Mg 0.000 0.000 0.000
Ti 0.000 0.500 0.500
Ti 0.500 0.000 0.500
Pt 0.500 0.500 0.000
O 0.000 0.000 0.500

---

# 11
Crystalline ScBeVI at its relaxed geometry, computed with PBE.

Values from the calculation:
Formation energy (no corrections) = 0.14 eV per atom
Energy above the most stable polymorph in this dataset = 0.000 eV/atom

Cell lengths 3.767, 3.767, 7.338 Å; angles 104.77, 104.77, 59.91 degrees
Positions (direct):
Sc 0.000 0.000 0.000
Be 0.734 0.734 0.202
V 0.435 0.435 0.306
I 0.569 0.569 0.704

---

# 12
Crystalline Ac2CoAs at its relaxed geometry, computed with PBE.

Values from the calculation:
Energy above the most stable polymorph in this dataset = 0.518 eV/atom
Formation enthalpy at 0 K = 0.113 eV per atom

Cell lengths 9.506, 9.506, 9.506 Å; angles 25.96, 25.96, 25.96 degrees
Positions (direct):
Ac 0.098 0.098 0.098
Ac 0.902 0.902 0.902
Co 0.000 0.000 0.000
As 0.500 0.500 0.500

---

# 13
Crystalline CsCaLaHf2 at its relaxed geometry, computed with PBE.

Values from the calculation:
Formation enthalpy at 0 K = 1.277 eV per atom

Cell lengths 5.516, 5.516, 6.264 Å; angles 90.00, 90.00, 90.00 degrees
Positions (direct):
Cs 0.000 0.000 0.000
Ca 0.500 0.500 0.000
La 0.000 0.000 0.500
Hf 0.000 0.500 0.500
Hf 0.500 0.000 0.500

---

# 14
Crystalline YCd at its relaxed geometry, computed with PBE.

Values from the calculation:
Formation enthalpy at 0 K = 0.685 eV per atom

Cell lengths 4.838, 4.838, 4.838 Å; angles 60.00, 60.00, 60.00 degrees
Positions (direct):
Y 0.000 0.000 0.000
Cd 0.750 0.750 0.750

---

# 15
Crystalline RbNaSn4 at its relaxed geometry, computed with PBE.

Values from the calculation:
Energy above the most stable polymorph in this dataset = 0.068 eV/atom
Formation enthalpy at 0 K = -0.072 eV per atom

Cell lengths 6.483, 6.483, 6.483 Å; angles 60.00, 60.00, 60.00 degrees
Positions (direct):
Rb 0.000 0.000 0.000
Na 0.750 0.750 0.750
Sn 0.376 0.376 0.376
Sn 0.376 0.376 0.873
Sn 0.376 0.873 0.376
Sn 0.873 0.376 0.376

---

# 16
Crystalline Pu2SbCl at its relaxed geometry, computed with PBE.

Values from the calculation:
Formation energy (no corrections) = -0.91 eV per atom
Energy above the most stable polymorph in this dataset = 0.000 eV/atom

Cell lengths 6.921, 6.921, 6.921 Å; angles 37.16, 37.16, 37.16 degrees
Positions (direct):
Pu 0.241 0.241 0.241
Pu 0.759 0.759 0.759
Sb 0.000 0.000 0.000
Cl 0.500 0.500 0.500

---

# 17
Crystalline Ta2BiP at its relaxed geometry, computed with PBE.

Values from the calculation:
Formation enthalpy at 0 K = 0.268 eV per atom

Cell lengths 4.706, 4.706, 4.706 Å; angles 60.00, 60.00, 60.00 degrees
Positions (direct):
Ta 0.250 0.250 0.250
Ta 0.750 0.750 0.750
Bi 0.000 0.000 0.000
P 0.500 0.500 0.500

---

# 18
Crystalline CaSm2MoN4 at its relaxed geometry, computed with PBE.

Values from the calculation:
Formation energy (no corrections) = -0.95 eV per atom

Cell lengths 6.397, 6.397, 12.389 Å; angles 90.00, 90.00, 149.03 degrees
Positions (direct):
Ca 0.066 0.934 0.750
Ca 0.934 0.066 0.250
Sm 0.372 0.628 0.539
Sm 0.372 0.628 0.961
Sm 0.628 0.372 0.039
Sm 0.628 0.372 0.461
Mo 0.186 0.814 0.250
Mo 0.814 0.186 0.750
N 0.000 0.000 0.000
N 0.000 0.000 0.500
N 0.264 0.736 0.121
N 0.264 0.736 0.379
N 0.423 0.577 0.750
N 0.577 0.423 0.250
N 0.736 0.264 0.621
N 0.736 0.264 0.879

---

# 19
Crystalline Sr3CaAc3Se8 at its relaxed geometry, computed with PBE.

Values from the calculation:
Formation energy (no corrections) = -1.98 eV per atom

Cell lengths 8.888, 8.888, 8.888 Å; angles 59.91, 59.91, 59.91 degrees
Positions (direct):
Sr 0.000 0.500 0.500
Sr 0.500 0.000 0.500
Sr 0.500 0.500 0.000
Ca 0.500 0.500 0.500
Ac 0.000 0.000 0.500
Ac 0.000 0.500 0.000
Ac 0.500 0.000 0.000
Se 0.251 0.251 0.251
Se 0.257 0.740 0.740
Se 0.260 0.260 0.743
Se 0.260 0.743 0.260
Se 0.740 0.257 0.740
Se 0.740 0.740 0.257
Se 0.743 0.260 0.260
Se 0.749 0.749 0.749

---

# 20
Crystalline NaInI at its relaxed geometry, computed with PBE.

Values from the calculation:
Formation energy (no corrections) = -0.62 eV per atom

Cell lengths 10.303, 10.303, 10.303 Å; angles 28.91, 28.91, 28.91 degrees
Positions (direct):
Na 0.077 0.077 0.077
Na 0.923 0.923 0.923
In 0.331 0.331 0.331
In 0.669 0.669 0.669
I 0.224 0.224 0.224
I 0.776 0.776 0.776

---

# 21
Crystalline CeErGaPb at its relaxed geometry, computed with PBE.

Values from the calculation:
Formation enthalpy at 0 K = -0.391 eV per atom

Cell lengths 5.306, 5.306, 5.306 Å; angles 60.00, 60.00, 60.00 degrees
Positions (direct):
Ce 0.000 0.000 0.000
Er 0.500 0.500 0.500
Ga 0.750 0.750 0.750
Pb 0.250 0.250 0.250

---

# 22
Crystalline BaCeAs2S8 at its relaxed geometry, computed with PBE.

Values from the calculation:
Formation energy (no corrections) = -0.73 eV per atom

Cell lengths 6.243, 6.243, 9.366 Å; angles 90.00, 90.00, 120.00 degrees
Positions (direct):
Ba 0.000 0.000 0.000
Ce 0.000 0.000 0.500
As 0.333 0.667 0.758
As 0.667 0.333 0.242
S 0.012 0.665 0.313
S 0.333 0.667 0.986
S 0.335 0.347 0.313
S 0.347 0.012 0.687
S 0.653 0.988 0.313
S 0.665 0.653 0.687
S 0.667 0.333 0.014
S 0.988 0.335 0.687

---

# 23
Crystalline Ga3Sn at its relaxed geometry, computed with PBE.

Values from the calculation:
Formation enthalpy at 0 K = 0.047 eV per atom

Cell lengths 5.503, 5.503, 5.503 Å; angles 133.72, 133.72, 67.52 degrees
Positions (direct):
Ga 0.000 0.000 0.000
Ga 0.250 0.750 0.500
Ga 0.750 0.250 0.500
Sn 0.500 0.500 0.000

---

# 24
Crystalline Ag2C at its relaxed geometry, computed with PBE.

Values from the calculation:
Energy above the most stable polymorph in this dataset = 0.871 eV/atom
Formation enthalpy at 0 K = 1.497 eV per atom

Cell lengths 3.145, 3.145, 5.180 Å; angles 90.00, 90.00, 120.00 degrees
Positions (direct):
Ag 0.333 0.667 0.225
Ag 0.667 0.333 0.775
C 0.000 0.000 0.500

---

# 25
Crystalline Tl4CdPbO8 at its relaxed geometry, computed with PBE.

Values from the calculation:
Formation energy (no corrections) = -0.76 eV per atom

Cell lengths 6.914, 6.914, 6.914 Å; angles 60.02, 60.02, 60.02 degrees
Positions (direct):
Tl 0.000 0.000 0.000
Tl 0.127 0.626 0.626
Tl 0.626 0.127 0.626
Tl 0.626 0.626 0.127
Cd 0.254 0.254 0.254
Pb 0.626 0.626 0.626
O 0.389 0.389 0.389
O 0.391 0.391 0.844
O 0.391 0.844 0.391
O 0.418 0.857 0.857
O 0.844 0.391 0.391
O 0.857 0.418 0.857
O 0.857 0.857 0.418
O 0.861 0.861 0.861

---

# 26
Crystalline AlPb3Se at its relaxed geometry, computed with PBE.

Values from the calculation:
Formation energy (no corrections) = 0.35 eV per atom
Energy above the most stable polymorph in this dataset = 0.000 eV/atom

Cell lengths 5.436, 5.436, 5.436 Å; angles 90.00, 90.00, 90.00 degrees
Positions (direct):
Al 0.000 0.000 0.000
Pb 0.000 0.000 0.500
Pb 0.000 0.500 0.000
Pb 0.500 0.000 0.000
Se 0.500 0.500 0.500